The following is a PBE calculation of crystalline Th4As2RuSe at its relaxed geometry, from Alexandria via LeMat-Bulk.

Cell: 4.157 7.374 7.383 Å, 109.18 90.00 90.00°
Positions (direct):
Se (0.000, 0.000, 0.000)
Th (0.000, 0.729, 0.233)
As (0.000, 0.500, 0.500)
Th (0.500, 0.259, 0.249)
Ru (0.500, 0.500, 0.000)
Th (0.000, 0.271, 0.767)
Th (0.500, 0.741, 0.751)
As (0.500, 0.000, 0.500)

=====

The following is a PBE calculation of crystalline Th6As2RuSe3 at its relaxed geometry, from Alexandria via LeMat-Bulk.

Cell: 4.152 8.621 9.467 Å, 102.75 102.67 90.00°
Positions (direct):
Se (0.170, 0.834, 0.339)
As (0.166, 0.335, 0.332)
Th (0.661, 0.086, 0.321)
Th (0.000, 0.225, 0.001)
Th (0.331, 0.420, 0.662)
Se (0.500, 0.500, 0.000)
Th (0.669, 0.580, 0.338)
Ru (0.500, 0.000, 0.000)
As (0.834, 0.665, 0.668)
Th (0.339, 0.914, 0.679)
Se (0.830, 0.166, 0.661)
Th (0.000, 0.775, 0.999)

=====

The following is a PBE calculation of crystalline Th8AsRu3Se4 at its relaxed geometry, from Alexandria via LeMat-Bulk.

Cell: 8.307 8.643 8.308 Å, 118.72 120.00 90.00°
Positions (direct):
Se (0.000, 0.000, 0.500)
Th (0.248, 0.725, 0.497)
Th (0.262, 0.285, 0.523)
Th (0.738, 0.715, 0.477)
Ru (0.000, 0.500, 0.500)
Th (0.729, 0.725, 0.977)
Ru (0.500, 0.500, 0.500)
Th (0.248, 0.725, 0.977)
Ru (0.500, 0.500, 0.000)
Se (0.500, 0.000, 0.500)
As (0.000, 0.500, 0.000)
Th (0.271, 0.275, 0.023)
Se (0.500, 0.000, 0.000)
Th (0.752, 0.275, 0.023)
Se (0.000, 0.000, 0.000)
Th (0.752, 0.275, 0.503)

=====

One value per record, in order, for total energy: -7.648, -7.460, -7.746 eV per atom.
One value per record, in order, for E_form (uncorrected): -9.443, -15.970, -18.167 eV/f.u..